(1)
Density functional theory data (GGA-PBE) for an optimized crystal structure of KRb3P2O6.

a = 6.2485 Å, b = 6.2485 Å, c = 7.5267 Å
α = 90.00°, β = 90.00°, γ = 120.00°
Positions (direct):
1 K 0.0000 0.0000 0.0000
2 Rb 0.0000 0.0000 0.5000
3 Rb 0.3333 0.6667 0.1907
4 Rb 0.6667 0.3333 0.8093
5 P 0.3333 0.6667 0.7190
6 P 0.6667 0.3333 0.2810
7 O 0.1954 0.3908 0.7748
8 O 0.1954 0.8046 0.7748
9 O 0.3908 0.1954 0.2252
10 O 0.6092 0.8046 0.7748
11 O 0.8046 0.1954 0.2252
12 O 0.8046 0.6092 0.2252

Raw formation energy: -1944 meV/atom
E_tot: -5.658 eV per atom
Total moment: 2.00 μB per formula unit
Crystal system: trigonal

(2)
Density functional theory data (GGA-PBE) for an optimized crystal structure of GaCo2Sn.

a = 4.0285 Å, b = 4.0285 Å, c = 16.8774 Å
α = 90.00°, β = 90.00°, γ = 90.00°
Positions (direct):
1 Ga 0.0000 0.0000 0.0000
2 Ga 0.0000 0.5000 0.2500
3 Ga 0.5000 0.0000 0.7500
4 Ga 0.5000 0.5000 0.5000
5 Co 0.1594 0.2500 0.1250
6 Co 0.2500 0.6594 0.3750
7 Co 0.2500 0.8406 0.8750
8 Co 0.3406 0.2500 0.6250
9 Co 0.6594 0.7500 0.6250
10 Co 0.7500 0.1594 0.8750
11 Co 0.7500 0.3406 0.3750
12 Co 0.8406 0.7500 0.1250
13 Sn 0.0000 0.0000 0.5000
14 Sn 0.0000 0.5000 0.7500
15 Sn 0.5000 0.0000 0.2500
16 Sn 0.5000 0.5000 0.0000

Energy relative to the elements: 1.4 eV per formula unit
E_tot: -4.962 eV per atom
Total moment: 2.82 μB per formula unit
Crystal system: tetragonal

(3)
Density functional theory data (GGA-PBE) for an optimized crystal structure of ScTa2Al.

a = 2.9778 Å, b = 2.9778 Å, c = 29.4179 Å
α = 90.00°, β = 90.00°, γ = 120.00°
Positions (direct):
1 Sc 0.0000 0.0000 0.0000
2 Sc 0.3333 0.6667 0.6667
3 Sc 0.6667 0.3333 0.3333
4 Ta 0.0000 0.0000 0.2461
5 Ta 0.0000 0.0000 0.7539
6 Ta 0.3333 0.6667 0.4206
7 Ta 0.3333 0.6667 0.9128
8 Ta 0.6667 0.3333 0.0872
9 Ta 0.6667 0.3333 0.5794
10 Al 0.0000 0.0000 0.5000
11 Al 0.3333 0.6667 0.1667
12 Al 0.6667 0.3333 0.8333

Energy relative to the elements: 0.3 eV per formula unit
E_tot: -8.360 eV per atom
Total moment: 0.00 μB per formula unit
Crystal system: trigonal

(4)
Density functional theory data (GGA-PBE) for an optimized crystal structure of BaReC2.

a = 5.6925 Å, b = 5.6925 Å, c = 9.9332 Å
α = 90.00°, β = 90.00°, γ = 90.00°
Positions (direct):
1 Ba 0.0000 0.0000 0.0000
2 Ba 0.0000 0.5000 0.2500
3 Ba 0.5000 0.0000 0.7500
4 Ba 0.5000 0.5000 0.5000
5 Re 0.0000 0.0000 0.5000
6 Re 0.0000 0.5000 0.7500
7 Re 0.5000 0.0000 0.2500
8 Re 0.5000 0.5000 0.0000
9 C 0.0648 0.2500 0.6250
10 C 0.2500 0.5648 0.8750
11 C 0.2500 0.9352 0.3750
12 C 0.4352 0.2500 0.1250
13 C 0.5648 0.7500 0.1250
14 C 0.7500 0.0648 0.3750
15 C 0.7500 0.4352 0.8750
16 C 0.9352 0.7500 0.6250

Energy above the most stable polymorph in this dataset: 0.00 eV per formula unit
Energy relative to the elements: 1.1 eV per formula unit
E_tot: -7.917 eV per atom
Total moment: 0.00 μB per formula unit
Crystal system: tetragonal

(5)
Density functional theory data (GGA-PBE) for an optimized crystal structure of ThScP2.

a = 3.8852 Å, b = 3.8852 Å, c = 20.4017 Å
α = 90.00°, β = 90.00°, γ = 120.00°
Positions (direct):
1 Th 0.0000 0.0000 0.0000
2 Th 0.3333 0.6667 0.6667
3 Th 0.6667 0.3333 0.3333
4 Sc 0.0000 0.0000 0.1723
5 Sc 0.3333 0.6667 0.8389
6 Sc 0.6667 0.3333 0.5056
7 P 0.0000 0.0000 0.5764
8 P 0.0000 0.0000 0.7607
9 P 0.3333 0.6667 0.2431
10 P 0.3333 0.6667 0.4274
11 P 0.6667 0.3333 0.0940
12 P 0.6667 0.3333 0.9097

Energy above the most stable polymorph in this dataset: 0.53 eV per formula unit
Energy relative to the elements: -5.5 eV per formula unit
E_tot: -7.506 eV per atom
Total moment: 0.50 μB per formula unit
Crystal system: trigonal

(6)
Density functional theory data (GGA-PBE) for an optimized crystal structure of GaAs2PbSe.

a = 4.9448 Å, b = 4.9448 Å, c = 5.1565 Å
α = 90.00°, β = 90.00°, γ = 90.00°
Positions (direct):
1 Ga 0.0000 0.0000 0.0000
2 As 0.0000 0.5000 0.0000
3 As 0.5000 0.0000 0.0000
4 Pb 0.5000 0.5000 0.5000
5 Se 0.0000 0.0000 0.5000

Energy above the most stable polymorph in this dataset: 0.00 eV per formula unit
Raw formation energy: 303 meV/atom
E_tot: -3.601 eV per atom
Total moment: 0.00 μB per formula unit
Crystal system: tetragonal

(7)
Density functional theory data (GGA-PBE) for an optimized crystal structure of HfGaHg.

a = 4.5739 Å, b = 4.5739 Å, c = 3.2277 Å
α = 90.00°, β = 90.00°, γ = 120.00°
Positions (direct):
1 Hf 0.0000 0.0000 0.0000
2 Ga 0.6667 0.3333 0.5571
3 Hg 0.3333 0.6667 0.4479

Energy above the most stable polymorph in this dataset: 0.00 eV per formula unit
Energy relative to the elements: -0.3 eV per formula unit
E_tot: -4.527 eV per atom
Total moment: 0.00 μB per formula unit
Crystal system: trigonal

(8)
Density functional theory data (GGA-PBE) for an optimized crystal structure of SnO.

a = 7.9179 Å, b = 7.9179 Å, c = 4.5864 Å
α = 90.00°, β = 90.00°, γ = 120.00°
Positions (direct):
1 Sn 0.0539 0.6991 0.2500
2 Sn 0.3009 0.3548 0.2500
3 Sn 0.3548 0.0539 0.7500
4 Sn 0.6452 0.9461 0.2500
5 Sn 0.6991 0.6452 0.7500
6 Sn 0.9461 0.3009 0.7500
7 O 0.0854 0.4514 0.2500
8 O 0.3660 0.9146 0.2500
9 O 0.4514 0.3660 0.7500
10 O 0.5486 0.6340 0.2500
11 O 0.6340 0.0854 0.7500
12 O 0.9146 0.5486 0.7500

Raw formation energy: -1075 meV/atom
E_tot: -5.555 eV per atom
Total moment: 0.00 μB per formula unit
Crystal system: hexagonal